First-principles (PBE) data for a relaxed La5Y4Er2 crystal, as listed in Alexandria.

Summary:
Uncorrected energy = -5.341 eV/atom
DFT formation energy = 0.079 eV per atom

Cell lengths 17.8896, 3.5696, 11.7867 Å; angles 90.00, 93.88, 90.00 degrees
Space group C2/m (No. 12)
Asymmetric unit:
1 La 0.0000 0.0000 0.0000
2 La 0.0979 0.5000 0.5359
3 La 0.1770 0.5000 0.0738
4 Y 0.0373 0.5000 0.2636
5 Y 0.1411 0.0000 0.7974
6 Er 0.2159 0.0000 0.3523


First-principles (PBE) data for a relaxed La2SeBr crystal, as listed in Alexandria.

Summary:
Distance to the lowest polymorph of the same formula = 291 meV per atom
Uncorrected energy = -5.104 eV/atom
E_form (uncorrected) = -1.3511 eV/atom

Cell lengths 3.9048, 4.5128, 6.9651 Å; angles 90.00, 92.80, 90.00 degrees
Space group P2/m (No. 10)
Asymmetric unit:
1 La 0.2375 0.0000 0.2348
2 Se 0.5000 0.5000 0.0000
3 Br 0.0000 0.5000 0.5000


First-principles (PBE) data for a relaxed KV3Ni crystal, as listed in Alexandria.

Summary:
Distance to the lowest polymorph of the same formula = 0 meV per atom
Uncorrected energy = -5.614 eV/atom
DFT formation energy = 1.233 eV per atom

Cell lengths 4.7482, 4.7482, 4.7482 Å; angles 90.00, 90.00, 90.00 degrees
Space group Pm-3m (No. 221)
Asymmetric unit:
1 K 0.0000 0.0000 0.0000
2 V 0.0000 0.5000 0.5000
3 Ni 0.5000 0.5000 0.5000


First-principles (PBE) data for a relaxed Sm4SnGeSe2 crystal, as listed in Alexandria.

Summary:
Uncorrected energy = -5.630 eV/atom
E_form (uncorrected) = -1.3217 eV/atom

Cell lengths 7.4374, 4.2574, 7.4517 Å; angles 90.00, 109.20, 90.00 degrees
Space group P2/m (No. 10)
Asymmetric unit:
1 Sm 0.2397 0.0000 0.2442
2 Sm 0.2402 0.5000 0.7471
3 Sn 0.5000 0.0000 0.0000
4 Ge 0.0000 0.5000 0.0000
5 Se 0.0000 0.0000 0.5000
6 Se 0.5000 0.5000 0.5000


First-principles (PBE) data for a relaxed VRh4W2 crystal, as listed in Alexandria.

Summary:
Uncorrected energy = -8.214 eV/atom
DFT formation energy = 0.990 eV per atom

Cell lengths 4.7000, 4.7000, 11.9266 Å; angles 90.00, 90.00, 90.00 degrees
Space group I4/mmm (No. 139)
Asymmetric unit:
1 V 0.0000 0.0000 0.0000
2 Rh 0.0000 0.0000 0.1906
3 Rh 0.0000 0.5000 0.0000
4 W 0.0000 0.0000 0.3993


First-principles (PBE) data for a relaxed ErSc2Mn crystal, as listed in Alexandria.

Summary:
Distance to the lowest polymorph of the same formula = 168 meV per atom
Uncorrected energy = -6.343 eV/atom
DFT formation energy = 0.255 eV per atom

Cell lengths 4.7927, 4.7927, 13.7439 Å; angles 90.00, 90.00, 120.00 degrees
Space group R-3m (No. 166, hexagonal axes)
Asymmetric unit:
1 Er 0.0000 0.0000 0.0000
2 Sc 0.0000 0.0000 0.2283
3 Mn 0.0000 0.0000 0.5000


The lowest uncorrected energy belongs to which entry? VRh4W2


The highest uncorrected energy belongs to which entry? La2SeBr